1.
DFT (GGA-PBE) results for a geometry-optimized ZnSiCl2 structure.

Geometry as POSCAR:
```
ZnSiCl2
1.0
-3.280 -1.834 -3.078
0.011 -4.751 -1.014
-3.567 -2.847 1.664
Cl Si Zn
2 1 1
Direct
0.250 0.250 0.250
0.000 0.000 0.000
0.500 0.500 0.500
0.750 0.750 0.750
```

Properties
formation energy from raw total energies: 0.304 eV/atom
calculated volume: 81.1 Å³/cell
total magnetization: 0.00 μB/cell
SG: F-43m, No. 216
total energy: -2.29 eV/atom

***

2.
DFT (GGA-PBE) results for a geometry-optimized Cd12Hg3Te5 structure.

Geometry as POSCAR:
```
Cd12Hg3Te5
1.0
14.776 0.000 0.000
-4.925 13.931 0.000
-4.925 -6.966 12.065
Hg Cd Te
12 48 20
Direct
0.875 0.750 0.125
0.625 0.375 0.750
0.625 0.250 0.375
0.875 0.125 0.250
0.375 0.625 0.250
0.125 0.875 0.750
0.250 0.625 0.875
0.750 0.375 0.125
0.375 0.750 0.625
0.750 0.875 0.625
0.250 0.125 0.375
0.125 0.250 0.875
0.328 0.569 0.435
0.172 0.065 0.931
0.431 0.672 0.065
0.635 0.565 0.893
0.069 0.435 0.828
0.893 0.065 0.635
0.435 0.365 0.607
0.565 0.635 0.393
0.241 0.672 0.107
0.135 0.741 0.569
0.865 0.259 0.431
0.672 0.431 0.565
0.393 0.259 0.328
0.065 0.172 0.431
0.241 0.569 0.635
0.635 0.069 0.241
0.431 0.759 0.865
0.828 0.893 0.259
0.931 0.365 0.259
0.893 0.828 0.759
0.107 0.935 0.365
0.435 0.069 0.328
0.741 0.135 0.069
0.259 0.865 0.931
0.741 0.607 0.172
0.065 0.893 0.135
0.935 0.107 0.865
0.259 0.393 0.828
0.865 0.607 0.935
0.569 0.328 0.935
0.759 0.328 0.893
0.828 0.935 0.069
0.607 0.741 0.672
0.172 0.107 0.741
0.393 0.135 0.565
0.931 0.565 0.172
0.107 0.172 0.241
0.365 0.435 0.107
0.135 0.393 0.065
0.569 0.241 0.135
0.328 0.759 0.393
0.565 0.931 0.672
0.607 0.865 0.435
0.365 0.931 0.759
0.672 0.241 0.607
0.759 0.431 0.365
0.935 0.828 0.569
0.069 0.635 0.741
0.375 0.250 0.125
0.375 0.125 0.750
0.000 0.500 0.000
0.750 0.125 0.875
0.500 0.500 0.500
0.750 0.625 0.375
0.875 0.625 0.750
0.625 0.875 0.250
0.500 0.000 0.000
0.625 0.750 0.875
0.000 0.000 0.500
0.000 0.000 0.000
0.125 0.375 0.250
0.250 0.875 0.125
0.500 0.000 0.500
0.250 0.375 0.625
0.500 0.500 0.000
0.125 0.750 0.375
0.875 0.250 0.625
0.000 0.500 0.500
```

Properties
formation energy from raw total energies: -0.108 eV/atom
calculated volume: 2483.6 Å³/cell
total magnetization: 0.00 μB/cell
SG: Ia-3d, No. 230
total energy: -1.49 eV/atom

***

3.
DFT (GGA-PBE) results for a geometry-optimized Ho4CoNi3 structure.

Geometry as POSCAR:
```
Ho4CoNi3
1.0
3.748 0.000 0.000
0.000 4.059 0.000
0.000 0.000 10.318
Ho Ni Co
4 3 1
Direct
0.500 0.500 0.356
0.000 0.500 0.862
0.000 0.000 0.141
0.500 0.000 0.640
0.000 0.500 0.572
0.500 0.000 0.929
0.000 0.000 0.430
0.500 0.500 0.070
```

Properties
formation enthalpy at 0 K: -3.2 eV/f.u.
calculated volume: 157.0 Å³/cell
total magnetization: 0.00 μB/cell
SG: Pmm2, No. 25
total energy: -5.74 eV/atom

***

4.
DFT (GGA-PBE) results for a geometry-optimized TbLuSnPd structure.

Geometry as POSCAR:
```
TbLuSnPd
1.0
-4.166 0.741 -2.881
-4.454 -2.136 1.343
-3.824 2.929 1.734
Pd Lu Tb Sn
1 1 1 1
Direct
0.750 0.750 0.750
0.000 0.000 0.000
0.500 0.500 0.500
0.250 0.250 0.250
```

Properties
formation enthalpy at 0 K: -2.9 eV/f.u.
calculated volume: 94.9 Å³/cell
total magnetization: 0.00 μB/cell
SG: F-43m, No. 216
total energy: -5.32 eV/atom

***

5.
DFT (GGA-PBE) results for a geometry-optimized La3ErHg structure.

Geometry as POSCAR:
```
La3ErHg
1.0
-1.898 0.647 3.058
-6.707 -3.735 -3.373
6.732 -8.563 3.803
La Er Hg
6 2 2
Direct
0.014 0.250 0.028
0.175 0.455 0.351
0.825 0.545 0.649
0.986 0.750 0.972
0.622 0.037 0.243
0.378 0.963 0.757
0.737 0.825 0.473
0.263 0.175 0.527
0.585 0.616 0.169
0.415 0.384 0.831
```

Properties
formation enthalpy at 0 K: -0.4 eV/f.u.
calculated volume: 336.2 Å³/cell
total magnetization: 0.00 μB/cell
SG: C2/m, No. 12
total energy: -4.01 eV/atom

***

6.
DFT (GGA-PBE) results for a geometry-optimized TaBiRh2 structure.

Geometry as POSCAR:
```
TaBiRh2
1.0
-2.982 -0.460 1.178
0.210 -3.155 -0.699
2.768 -1.258 6.513
Ta Rh Bi
1 2 1
Direct
0.500 0.500 0.000
0.000 0.000 0.803
0.000 0.000 0.197
0.500 0.500 0.500
```

Properties
formation enthalpy at 0 K: -1.3 eV/f.u.
calculated volume: 75.4 Å³/cell
total magnetization: 0.00 μB/cell
SG: P4/mmm, No. 123
total energy: -7.93 eV/atom

***

7.
DFT (GGA-PBE) results for a geometry-optimized NaBP2Se8 structure.

Geometry as POSCAR:
```
NaBP2Se8
1.0
5.787 0.000 0.000
2.893 5.012 0.000
2.893 1.671 10.702
Se P B Na
8 2 1 1
Direct
0.269 0.916 0.141
0.674 0.269 0.141
0.916 0.674 0.141
0.326 0.731 0.859
0.731 0.084 0.859
0.804 0.804 0.588
0.196 0.196 0.412
0.084 0.326 0.859
0.263 0.263 0.210
0.737 0.737 0.790
0.000 0.000 0.000
0.500 0.500 0.500
```

Properties
formation energy from raw total energies: 0.094 eV/atom
calculated volume: 310.4 Å³/cell
total magnetization: 0.00 μB/cell
SG: R-3, No. 148
total energy: -3.80 eV/atom

***

8.
DFT (GGA-PBE) results for a geometry-optimized Sr3B2RhO8 structure.

Geometry as POSCAR:
```
Sr3B2RhO8
1.0
-1.075 0.878 -5.094
-1.396 -4.571 2.243
-6.055 2.704 1.743
O B Sr Rh
8 2 3 1
Direct
0.333 0.667 0.036
0.350 0.175 0.687
0.175 0.350 0.313
0.825 0.650 0.687
0.175 0.825 0.313
0.650 0.825 0.313
0.667 0.333 0.964
0.825 0.175 0.687
0.667 0.333 0.761
0.333 0.667 0.239
0.667 0.333 0.311
0.333 0.667 0.689
0.000 0.000 0.000
0.000 0.000 0.500
```

Properties
formation energy from raw total energies: -2.239 eV/atom
calculated volume: 165.5 Å³/cell
total magnetization: 1.03 μB/cell
SG: P-3m1, No. 164
total energy: -6.91 eV/atom

***

9.
DFT (GGA-PBE) results for a geometry-optimized BaSn2Te5 structure.

Geometry as POSCAR:
```
BaSn2Te5
1.0
-1.759 -2.416 3.331
-0.020 -3.636 -5.653
17.638 -6.853 4.344
Sn Te Ba
4 10 2
Direct
0.689 0.378 0.401
0.311 0.622 0.599
0.311 0.622 0.901
0.689 0.378 0.099
0.975 0.950 0.897
0.256 0.513 0.750
0.025 0.050 0.103
0.348 0.697 0.427
0.025 0.050 0.397
0.652 0.303 0.927
0.348 0.697 0.073
0.744 0.487 0.250
0.652 0.303 0.573
0.975 0.950 0.603
0.455 0.911 0.250
0.545 0.089 0.750
```

Properties
formation energy from raw total energies: -0.506 eV/atom
calculated volume: 550.7 Å³/cell
total magnetization: 0.00 μB/cell
SG: Cmcm, No. 63
total energy: -3.71 eV/atom

***

10.
DFT (GGA-PBE) results for a geometry-optimized ErThCo structure.

Geometry as POSCAR:
```
ErThCo
1.0
-5.161 -2.073 4.328
4.641 -2.542 4.316
2.322 4.455 4.903
Co Er Th
4 4 4
Direct
0.559 0.552 0.794
0.941 0.552 0.294
0.059 0.448 0.706
0.441 0.448 0.206
0.826 0.297 0.060
0.326 0.703 0.440
0.174 0.703 0.940
0.674 0.297 0.560
0.826 0.781 0.526
0.174 0.219 0.474
0.674 0.781 0.026
0.326 0.219 0.974
```

Properties
formation enthalpy at 0 K: -0.3 eV/f.u.
calculated volume: 305.0 Å³/cell
total magnetization: 0.00 μB/cell
SG: P2_1/c, No. 14
total energy: -6.47 eV/atom

***

11.
DFT (GGA-PBE) results for a geometry-optimized ZrAl3Ni2 structure.

Geometry as POSCAR:
```
ZrAl3Ni2
1.0
5.158 -0.004 0.000
-2.578 4.468 0.000
0.000 0.000 9.274
Ni Al Zr
4 6 2
Direct
0.667 0.333 0.463
0.667 0.333 0.037
0.333 0.667 0.963
0.333 0.667 0.537
0.830 0.170 0.250
0.830 0.660 0.250
0.660 0.830 0.750
0.170 0.340 0.750
0.340 0.170 0.250
0.170 0.830 0.750
0.000 0.000 0.500
0.000 0.000 0.000
```

Properties
formation enthalpy at 0 K: 0.5 eV/f.u.
calculated volume: 213.6 Å³/cell
total magnetization: 0.00 μB/cell
SG: P6_3/mmc, No. 194
total energy: -5.14 eV/atom

***

12.
DFT (GGA-PBE) results for a geometry-optimized Mg2BHRh structure.

Geometry as POSCAR:
```
Mg2BHRh
1.0
-1.864 1.136 4.079
-0.285 -3.692 0.898
4.220 0.134 1.891
Mg B Rh H
2 1 1 1
Direct
0.000 0.000 0.500
0.500 0.000 0.000
0.000 0.000 0.000
0.000 0.500 0.000
0.500 0.500 0.500
```

Properties
calculated volume: 81.6 Å³/cell
total magnetization: 0.00 μB/cell
SG: P4/mmm, No. 123
total energy: -3.75 eV/atom

***

Copy entry 3 word for word.
DFT (GGA-PBE) results for a geometry-optimized Ho4CoNi3 structure.

Geometry as POSCAR:
```
Ho4CoNi3
1.0
3.748 0.000 0.000
0.000 4.059 0.000
0.000 0.000 10.318
Ho Ni Co
4 3 1
Direct
0.500 0.500 0.356
0.000 0.500 0.862
0.000 0.000 0.141
0.500 0.000 0.640
0.000 0.500 0.572
0.500 0.000 0.929
0.000 0.000 0.430
0.500 0.500 0.070
```

Properties
formation enthalpy at 0 K: -3.2 eV/f.u.
calculated volume: 157.0 Å³/cell
total magnetization: 0.00 μB/cell
SG: Pmm2, No. 25
total energy: -5.74 eV/atom